# 1
Hf2RePb | GGA-PBE | optimized geometry

Values from the calculation:
**DFT formation energy**: 0.5254 eV per atom
**DOS at the Fermi energy**: 0.8265 states/eV per atom
**Energy**: -67.923 eV for the cell shown

abc: 6.2958 6.2958 6.2958
angles: 102.29 102.29 125.04
Last column: nearest neighbours and their distance in Å.
Atoms (fractional coordinates):
Hf: 0.0703 0.1250 0.4453  2 Re 2.61
Hf: 0.3750 0.9297 0.0547  2 Re 2.61
Hf: 0.6797 0.6250 0.5547  2 Re 2.61
Hf: 0.8750 0.3203 0.9453  2 Re 2.61
Re: 0.0000 0.0000 0.0000  4 Hf 2.61, 2 Pb 2.91
Re: 0.7500 0.2500 0.5000  4 Hf 2.61, 2 Pb 2.91
Pb: 0.2500 0.7500 0.5000  2 Re 2.91, 4 Hf 3.20
Pb: 0.5000 0.5000 0.0000  2 Re 2.91, 4 Hf 3.20

***

# 2
Ho4Cd2In | GGA-PBE | optimized geometry

Values from the calculation:
**DFT formation energy**: -0.1812 eV per atom
**DOS at the Fermi energy**: 1.1907 states/eV per atom
**Energy**: -24.148 eV for the cell shown

abc: 8.9096 8.9096 8.9096
angles: 34.00 34.00 34.00
Last column: nearest neighbours and their distance in Å.
Atoms (fractional coordinates):
Ho: 0.1165 0.1165 0.1165  4 Cd 3.10-3.27, 3 In 3.26
Ho: 0.3703 0.3703 0.3703  4 Cd 3.11-3.26, 1 In 3.26
Ho: 0.6297 0.6297 0.6297  4 Cd 3.11-3.26, 1 In 3.26
Ho: 0.8835 0.8835 0.8835  4 Cd 3.10-3.27, 3 In 3.26
Cd: 0.2466 0.2466 0.2466  8 Ho 3.10-3.27
Cd: 0.7534 0.7534 0.7534  8 Ho 3.10-3.27
In: 0.5000 0.5000 0.5000  8 Ho 3.26, 6 Cd 3.62

***

# 3
Rb2TlAg2I7 | GGA-PBE | optimized geometry

Values from the calculation:
**Uncorrected formation energy**: -0.635 eV per atom
**DOS at the Fermi energy**: 0.2748 states/eV per atom
**Energy**: -28.474 eV for the cell shown

abc: 15.2999 15.2999 15.2999
angles: 158.09 158.09 31.17
Last column: nearest neighbours and their distance in Å.
Atoms (fractional coordinates):
Rb: 0.1767 0.1767 0.0000  9 I 3.72-4.15
Rb: 0.8233 0.8233 0.0000  9 I 3.72-4.15
Tl: 0.0000 0.0000 0.0000  12 I 3.91-4.11
Ag: 0.4010 0.4010 0.0000  6 I 2.88-2.92
Ag: 0.5990 0.5990 0.0000  6 I 2.88-2.92
I: 0.0885 0.5885 0.5000  2 Ag 2.92
I: 0.3031 0.3031 0.0000  1 Ag 2.88
I: 0.4115 0.9115 0.5000  2 Ag 2.92
I: 0.5000 0.5000 0.0000  2 Ag 2.92
I: 0.5885 0.0885 0.5000  2 Ag 2.92
I: 0.6969 0.6969 0.0000  1 Ag 2.88
I: 0.9115 0.4115 0.5000  2 Ag 2.92

***

# 4
Tb4NdSmHo2 | GGA-PBE | optimized geometry

Values from the calculation:
**DFT formation energy**: 0.0169 eV per atom
**DOS at the Fermi energy**: 1.3638 states/eV per atom
**Energy**: -37.028 eV for the cell shown

abc: 5.0502 5.0625 10.0969
angles: 90.00 90.05 90.00
Last column: nearest neighbours and their distance in Å.
Atoms (fractional coordinates):
Tb: 0.0000 0.0000 0.2494  2 Sm 3.56-3.57, 4 Ho 3.57-3.58, 4 Tb 3.57-3.58, 2 Nd 3.58
Tb: 0.0000 0.0000 0.7506  2 Sm 3.56-3.57, 4 Ho 3.57-3.58, 4 Tb 3.57-3.58, 2 Nd 3.58
Tb: 0.4998 0.5000 0.2488  4 Ho 3.56-3.58, 2 Sm 3.57, 4 Tb 3.57-3.58, 2 Nd 3.58
Tb: 0.5002 0.5000 0.7512  4 Ho 3.56-3.58, 2 Sm 3.57, 4 Tb 3.57-3.58, 2 Nd 3.58
Nd: 0.0000 0.5000 0.5000  4 Ho 3.58, 8 Tb 3.58
Sm: 0.5000 0.0000 0.0000  8 Tb 3.56-3.57, 4 Ho 3.58
Ho: 0.0000 0.5000 0.0000  8 Tb 3.56-3.57, 4 Sm 3.58
Ho: 0.5000 0.0000 0.5000  8 Tb 3.57-3.58, 4 Nd 3.58

***

# 5
Ba2Ac5Rh2Au2 | GGA-PBE | optimized geometry

Values from the calculation:
**DFT formation energy**: -0.4364 eV per atom
**DOS at the Fermi energy**: 0.7708 states/eV per atom
**Energy**: -50.445 eV for the cell shown

abc: 14.6792 14.6792 14.6792
angles: 157.24 157.24 32.40
Last column: nearest neighbours and their distance in Å.
Atoms (fractional coordinates):
Ba: 0.2203 0.2203 0.0000  1 Au 3.27, 1 Rh 3.47
Ba: 0.7797 0.7797 0.0000  1 Au 3.27, 1 Rh 3.47
Ac: 0.0000 0.0000 0.0000  2 Rh 2.75
Ac: 0.1130 0.6130 0.5000  2 Rh 2.93, 2 Au 3.23
Ac: 0.3870 0.8870 0.5000  2 Rh 2.93, 2 Au 3.23
Ac: 0.6130 0.1130 0.5000  2 Rh 2.93, 2 Au 3.23
Ac: 0.8870 0.3870 0.5000  2 Rh 2.93, 2 Au 3.23
Rh: 0.0974 0.0974 0.0000  5 Ac 2.75-2.93
Rh: 0.9026 0.9026 0.0000  5 Ac 2.75-2.93
Au: 0.3363 0.3363 0.0000  4 Ac 3.23, 1 Ba 3.27
Au: 0.6637 0.6637 0.0000  4 Ac 3.23, 1 Ba 3.27

***

# 6
YTa4As | GGA-PBE | optimized geometry

Values from the calculation:
**DFT formation energy**: 0.3873 eV per atom
**DOS at the Fermi energy**: 1.2052 states/eV per atom
**Energy**: -56.200 eV for the cell shown

abc: 5.6305 5.6305 5.6305
angles: 60.00 60.00 60.00
Last column: nearest neighbours and their distance in Å.
Atoms (fractional coordinates):
Y: 0.0000 0.0000 0.0000  12 Ta 3.30, 4 As 3.45
Ta: 0.3724 0.3724 0.3724  6 Ta 2.76-2.87
Ta: 0.3724 0.3724 0.8829  6 Ta 2.76-2.87
Ta: 0.3724 0.8829 0.3724  6 Ta 2.76-2.87
Ta: 0.8829 0.3724 0.3724  6 Ta 2.76-2.87
As: 0.7500 0.7500 0.7500  12 Ta 3.31, 4 Y 3.45

***

# 7
BaNiPb | GGA-PBE | optimized geometry

Values from the calculation:
**DFT formation energy**: -0.1732 eV per atom
**DOS at the Fermi energy**: 0.9311 states/eV per atom
**Energy**: -11.932 eV for the cell shown

abc: 4.6060 4.6060 4.9496
angles: 90.00 90.00 120.00
Last column: nearest neighbours and their distance in Å.
Atoms (fractional coordinates):
Ba: 0.0000 0.0000 0.0000  6 Pb 3.63, 6 Ni 3.63
Ni: 0.6667 0.3333 0.5000  3 Pb 2.66
Pb: 0.3333 0.6667 0.5000  3 Ni 2.66

***

# 8
La2SbH | GGA-PBE | optimized geometry

Values from the calculation:
**DOS at the Fermi energy**: 1.0189 states/eV per atom
**Energy**: -79.723 eV for the cell shown

abc: 6.4198 6.4336 12.3350
angles: 90.00 118.93 90.00
Last column: nearest neighbours and their distance in Å.
Atoms (fractional coordinates):
La: 0.0784 0.2400 0.0836  2 H 2.46-2.50
La: 0.0784 0.7600 0.5836  2 H 2.46-2.50
La: 0.3179 0.2327 0.8332  2 H 2.46-2.49
La: 0.3179 0.7673 0.3332  2 H 2.46-2.49
La: 0.6821 0.2327 0.6669  2 H 2.46-2.49
La: 0.6821 0.7673 0.1668  2 H 2.46-2.49
La: 0.9216 0.2400 0.4164  2 H 2.46-2.50
La: 0.9216 0.7600 0.9164  2 H 2.46-2.50
Sb: 0.3817 0.2688 0.3750  6 La 3.16-3.26, 1 H 3.50
Sb: 0.3817 0.7312 0.8750  6 La 3.16-3.26, 1 H 3.50
Sb: 0.6183 0.2688 0.1250  6 La 3.16-3.26, 1 H 3.50
Sb: 0.6183 0.7312 0.6250  6 La 3.16-3.26, 1 H 3.50
H: 0.0012 0.1178 0.6250  4 La 2.46-2.50
H: 0.0012 0.8822 0.1250  4 La 2.46-2.50
H: 0.9988 0.1178 0.8750  4 La 2.46-2.50
H: 0.9988 0.8822 0.3750  4 La 2.46-2.50

***

> What is the formula in the third record?

Rb2TlAg2I7